A plane-wave DFT calculation with PBE was carried out for an optimized crystal structure of CsInHg.

```
CsInHg
1.0
-2.481 1.464 -2.895
1.377 -2.825 -2.609
-4.372 -3.612 4.801
In Hg Cs
1 1 1
Direct
0.290 0.290 0.580
0.708 0.708 0.416
0.002 0.002 0.004
```

Values from the calculation:
Excess energy over the best structure of this formula in the dataset = 0.0596 eV/atom
Electronic total energy = -1.40 eV/atom
DOS at the Fermi energy = 0.37 states/eV/atom
Formation enthalpy at 0 K = -0.097 eV/atom
Spin magnetization = 0.0 Bohr magnetons per cell